This record from the Alexandria database describes a relaxed structure of AlH2Br. The functional is PBE.

Output
* symmetry: Fd-3m
* magnetic moment: 0.000 μB per atom
* uncorrected energy: -24.89 eV per cell

Cell lengths 5.368, 5.368, 5.370 Å; angles 60.01, 60.01, 90.00 degrees
Sites, in units of the cell vectors:
H1 0.375 0.625 0.250
H2 0.375 0.125 0.250
Al1 0.250 0.750 0.500
Br1 0.000 0.000 0.000
H3 0.875 0.625 0.750
Al2 0.500 0.500 0.000
Br2 0.750 0.250 0.500
H4 0.375 0.625 0.750

=====

This record from the Alexandria database describes a relaxed structure of Na2TlPb. The functional is PBE.

Output
* symmetry: Immm
* energy of formation from the pure elements: 69.2 meV/atom
* magnetic moment: 0.000 μB per atom

Cell lengths 7.267, 7.267, 7.267 Å; angles 56.79, 152.73, 131.21 degrees
Sites, in units of the cell vectors:
Na1 0.000 0.752 0.752
Tl1 0.000 0.000 0.000
Pb1 0.000 0.500 0.500
Na2 0.000 0.248 0.248

=====

This record from the Alexandria database describes a relaxed structure of Ba2PtSe. The functional is PBE.

Output
* symmetry: F-43m
* magnetic moment: 0.000 μB per atom
* uncorrected formation energy: -615 meV/atom

Cell lengths 5.468, 5.468, 5.468 Å; angles 60.00, 60.00, 60.00 degrees
Sites, in units of the cell vectors:
Ba1 0.000 0.000 0.000
Pt1 0.500 0.500 0.500
Se1 0.250 0.250 0.250
Ba2 0.750 0.750 0.750

=====

This record from the Alexandria database describes a relaxed structure of MgTa2Si. The functional is PBE.

Output
* symmetry: Cm
* magnetic moment: 0.000 μB per atom
* uncorrected formation energy: 98 meV/atom

Cell lengths 5.095, 5.095, 4.990 Å; angles 79.99, 79.99, 32.26 degrees
Sites, in units of the cell vectors:
Mg1 0.512 0.512 0.504
Ta1 0.985 0.985 0.024
Si1 0.250 0.250 0.234
Ta2 0.753 0.753 0.738

=====

This record from the Alexandria database describes a relaxed structure of Ga2HgH. The functional is PBE.

Output
* symmetry: I-42d
* magnetic moment: 0.000 μB per atom
* uncorrected energy: -17.41 eV per cell

Cell lengths 4.929, 4.929, 7.042 Å; angles 69.51, 69.51, 90.00 degrees
Sites, in units of the cell vectors:
Ga1 0.375 0.522 0.750
Ga2 0.875 0.728 0.750
Ga3 0.272 0.625 0.250
Hg1 0.750 0.250 0.500
H1 0.500 0.500 0.000
Hg2 0.000 0.000 0.000
Ga4 0.478 0.125 0.250
H2 0.250 0.750 0.500

=====

This record from the Alexandria database describes a relaxed structure of CaLaMn2. The functional is PBE.

Output
* symmetry: I-42d
* energy of formation from the pure elements: 1245.1 meV/atom
* magnetic moment: 0.013 μB per atom

Cell lengths 7.389, 7.389, 6.029 Å; angles 52.21, 52.21, 90.00 degrees
Sites, in units of the cell vectors:
Mn1 0.375 0.339 0.750
Ca1 0.250 0.750 0.500
Ca2 0.500 0.500 0.000
Mn2 0.661 0.125 0.250
Mn3 0.875 0.911 0.750
Mn4 0.089 0.625 0.250
La1 0.750 0.250 0.500
La2 0.000 0.000 0.000

=====

This record from the Alexandria database describes a relaxed structure of BaMn2Sb2. The functional is PBE.

Output
* symmetry: I4/mmm
* magnetic moment: 1.545 μB per atom
* uncorrected formation energy: -303 meV/atom

Cell lengths 4.533, 4.533, 7.282 Å; angles 71.86, 71.86, 90.00 degrees
Sites, in units of the cell vectors:
Mn1 0.250 0.750 0.500
Ba1 0.000 0.000 0.000
Sb1 0.364 0.364 0.272
Mn2 0.750 0.250 0.500
Sb2 0.636 0.636 0.728

=====

This record from the Alexandria database describes a relaxed structure of Cs2NpPaSe6. The functional is PBE.

Output
* symmetry: Fm-3m
* magnetic moment: 0.200 μB per atom
* uncorrected formation energy: -1247 meV/atom

Cell lengths 7.815, 7.815, 11.052 Å; angles 90.00, 90.00, 90.00 degrees
Sites, in units of the cell vectors:
Se1 0.751 0.500 0.500
Pa1 0.500 0.250 0.500
Se2 0.249 0.500 0.500
Se3 0.500 0.250 0.750
Se4 0.750 0.001 0.000
Pa2 0.000 0.750 0.000
Np1 0.000 0.750 0.500
Se5 0.250 0.999 0.500
Se6 0.500 0.250 0.250
Np2 0.500 0.250 0.000
Cs1 0.500 0.750 0.750
Se7 0.749 0.500 0.000
Se8 0.750 0.999 0.500
Cs2 0.000 0.250 0.250
Se9 0.000 0.750 0.250
Se10 0.000 0.750 0.750
Cs3 0.500 0.750 0.250
Cs4 0.000 0.250 0.750
Se11 0.251 0.500 0.000
Se12 0.250 0.001 0.000

=====

This record from the Alexandria database describes a relaxed structure of Mn2CoIr. The functional is PBE.

Output
* symmetry: Pmmm
* energy of formation from the pure elements: -33.4 meV/atom
* magnetic moment: 0.576 μB per atom

Cell lengths 2.602, 3.573, 5.108 Å; angles 90.00, 90.00, 90.00 degrees
Sites, in units of the cell vectors:
Mn1 0.000 0.000 0.017
Mn2 0.000 0.000 0.483
Ir1 0.500 0.500 0.750
Co1 0.500 0.500 0.250

=====

This record from the Alexandria database describes a relaxed structure of LiAc2SmS5. The functional is PBE.

Output
* symmetry: Cmc2_1
* magnetic moment: 0.000 μB per atom
* uncorrected formation energy: -2005 meV/atom

Cell lengths 4.170, 8.798, 12.333 Å; angles 90.00, 90.00, 103.71 degrees
Sites, in units of the cell vectors:
S1 0.501 0.003 0.785
Ac1 0.124 0.247 0.301
S2 0.362 0.724 0.000
Li1 0.485 0.970 0.481
S3 0.694 0.388 0.848
Sm1 0.197 0.393 0.002
Li2 0.515 0.030 0.981
Ac2 0.876 0.753 0.801
S4 0.045 0.091 0.064
S5 0.710 0.420 0.157
S6 0.638 0.276 0.500
Sm2 0.803 0.607 0.502
Ac3 0.110 0.220 0.685
S7 0.306 0.612 0.348
Ac4 0.890 0.780 0.185
S8 0.499 0.997 0.285
S9 0.955 0.909 0.564
S10 0.290 0.580 0.657

=====

This record from the Alexandria database describes a relaxed structure of Ce6SbTe3Se2. The functional is PBE.

Output
* symmetry: C2/m
* magnetic moment: 0.531 μB per atom
* uncorrected formation energy: -1456 meV/atom

Cell lengths 7.579, 7.579, 7.697 Å; angles 99.49, 99.49, 120.11 degrees
Sites, in units of the cell vectors:
Te1 0.161 0.839 0.500
Se1 0.668 0.332 0.000
Te2 0.839 0.161 0.500
Ce1 0.078 0.423 0.235
Se2 0.332 0.668 0.000
Ce2 0.731 0.731 0.229
Ce3 0.423 0.078 0.235
Ce4 0.269 0.269 0.771
Te3 0.500 0.500 0.500
Ce5 0.922 0.577 0.765
Ce6 0.577 0.922 0.765
Sb1 0.000 0.000 0.000

=====

This record from the Alexandria database describes a relaxed structure of OsPdO2F. The functional is PBE.

Output
* symmetry: P4/mmm
* magnetic moment: 0.895 μB per atom
* uncorrected formation energy: 722 meV/atom

Cell lengths 4.032, 4.032, 4.085 Å; angles 90.00, 90.00, 90.00 degrees
Sites, in units of the cell vectors:
F1 0.000 0.000 0.500
O1 0.000 0.500 0.000
Pd1 0.000 0.000 0.000
O2 0.500 0.000 0.000
Os1 0.500 0.500 0.500

=====

This record from the Alexandria database describes a relaxed structure of Zr6Ni2Ir. The functional is PBE.

Output
* symmetry: Immm
* energy of formation from the pure elements: -387.2 meV/atom
* magnetic moment: 0.000 μB per atom

Cell lengths 7.692, 7.692, 7.692 Å; angles 103.98, 111.87, 112.69 degrees
Sites, in units of the cell vectors:
Ni1 0.350 0.000 0.350
Ni2 0.500 0.373 0.873
Ir1 0.000 0.500 0.500
Zr1 0.470 0.284 0.185
Ir2 0.000 0.000 0.000
Zr2 0.530 0.716 0.815
Zr3 0.190 0.245 0.435
Zr4 0.190 0.755 0.945
Ni3 0.650 0.000 0.650
Ni4 0.500 0.627 0.127
Zr5 0.702 0.032 0.329
Zr6 0.901 0.716 0.185
Zr7 0.810 0.245 0.055
Zr8 0.298 0.627 0.329
Zr9 0.810 0.755 0.565
Zr10 0.702 0.373 0.671
Zr11 0.298 0.968 0.671
Zr12 0.099 0.284 0.815

=====

This record from the Alexandria database describes a relaxed structure of CrRhS2Cl. The functional is PBE.

Output
* symmetry: P4/mmm
* magnetic moment: 0.624 μB per atom
* uncorrected formation energy: 345 meV/atom

Cell lengths 4.666, 4.666, 4.734 Å; angles 90.00, 90.00, 90.00 degrees
Sites, in units of the cell vectors:
S1 0.500 0.000 0.000
Cr1 0.500 0.500 0.500
Cl1 0.000 0.000 0.500
S2 0.000 0.500 0.000
Rh1 0.000 0.000 0.000

=====

This record from the Alexandria database describes a relaxed structure of SrCaAc. The functional is PBE.

Output
* symmetry: I4mm
* energy of formation from the pure elements: 61.7 meV/atom
* magnetic moment: 0.000 μB per atom

Cell lengths 4.359, 4.359, 7.912 Å; angles 105.99, 105.99, 90.00 degrees
Sites, in units of the cell vectors:
Ac1 0.675 0.675 0.349
Sr1 0.994 0.994 0.988
Ca1 0.331 0.331 0.662

=====

This record from the Alexandria database describes a relaxed structure of NdNiSn. The functional is PBE.

Output
* symmetry: Pmmn
* energy of formation from the pure elements: -604.3 meV/atom
* magnetic moment: 0.000 μB per atom

Cell lengths 4.578, 7.754, 15.071 Å; angles 90.00, 90.00, 90.00 degrees
Sites, in units of the cell vectors:
Nd1 0.000 0.288 0.500
Nd2 0.500 0.712 0.000
Ni1 0.500 0.418 0.844
Ni2 0.000 0.582 0.344
Ni3 0.000 0.582 0.656
Ni4 0.000 0.923 0.889
Sn1 0.500 0.088 0.102
Nd3 0.000 0.209 0.756
Sn2 0.500 0.409 0.349
Sn3 0.500 0.409 0.651
Sn4 0.000 0.591 0.151
Nd4 0.500 0.703 0.500
Nd5 0.000 0.297 0.000
Nd6 0.500 0.791 0.744
Ni5 0.000 0.923 0.111
Sn5 0.000 0.591 0.849
Ni6 0.500 0.418 0.156
Nd7 0.000 0.209 0.244
Sn6 0.000 0.912 0.602
Nd8 0.500 0.791 0.256
Sn7 0.000 0.912 0.398
Ni7 0.500 0.077 0.389
Ni8 0.500 0.077 0.611
Sn8 0.500 0.088 0.898

=====

This record from the Alexandria database describes a relaxed structure of Re2NiPN. The functional is PBE.

Output
* symmetry: P4/mmm
* magnetic moment: 0.000 μB per atom
* uncorrected formation energy: 449 meV/atom

Cell lengths 4.130, 3.584, 4.130 Å; angles 90.00, 90.00, 90.00 degrees
Sites, in units of the cell vectors:
N1 0.000 0.000 0.000
P1 0.500 0.500 0.500
Ni1 0.000 0.500 0.000
Re1 0.500 0.000 0.000
Re2 0.000 0.000 0.500

=====

This record from the Alexandria database describes a relaxed structure of LaNbTc2Hg. The functional is PBE.

Output
* symmetry: P4/mmm
* energy of formation from the pure elements: 1928.9 meV/atom
* magnetic moment: 0.390 μB per atom

Cell lengths 4.771, 5.014, 4.771 Å; angles 90.00, 90.00, 90.00 degrees
Sites, in units of the cell vectors:
Tc1 0.500 0.000 0.000
Tc2 0.000 0.000 0.500
Hg1 0.500 0.500 0.500
Nb1 0.000 0.500 0.000
La1 0.000 0.000 0.000

=====

This record from the Alexandria database describes a relaxed structure of Dy6ZrSc2. The functional is PBE.

Output
* symmetry: C2/m
* energy of formation from the pure elements: 124.6 meV/atom
* magnetic moment: 0.009 μB per atom

Cell lengths 3.359, 9.376, 9.981 Å; angles 118.01, 109.76, 90.00 degrees
Sites, in units of the cell vectors:
Sc1 0.666 0.333 0.666
Dy1 0.831 0.000 0.331
Dy2 0.831 0.331 0.331
Dy3 0.169 0.000 0.669
Zr1 0.000 0.000 0.000
Sc2 0.334 0.667 0.334
Dy4 0.500 0.330 0.000
Dy5 0.169 0.669 0.669
Dy6 0.500 0.670 0.000

=====

This record from the Alexandria database describes a relaxed structure of CrHgIr2. The functional is PBE.

Output
* symmetry: P4/mmm
* energy of formation from the pure elements: 344.5 meV/atom
* magnetic moment: 0.650 μB per atom

Cell lengths 3.892, 4.017, 4.017 Å; angles 90.00, 90.00, 90.00 degrees
Sites, in units of the cell vectors:
Ir1 0.000 0.000 0.000
Hg1 0.500 0.000 0.500
Ir2 0.000 0.500 0.500
Cr1 0.500 0.500 0.000